The following is a GGA-PBE calculation of crystalline LiPrZn2Au5 at its relaxed geometry, from the Alexandria database.

Cell lengths 4.5689, 4.5689, 9.0388 Å; angles 90.00, 90.00, 90.00 degrees
With the nearest neighbours (Å) after each atom.
Sites, in units of the cell vectors:
Au  0.0000  0.5000  0.7335  2 Zn 2.58
Au  0.5000  0.0000  0.7335  2 Zn 2.58
Zn  0.5000  0.5000  0.1332  1 Zn 2.41, 4 Au 2.58
Au  0.5000  0.0000  0.2665  2 Zn 2.58
Au  0.5000  0.5000  0.5000  8 Au 3.11, 4 Pr 3.23, 2 Zn 3.32
Zn  0.5000  0.5000  0.8668  1 Zn 2.41, 4 Au 2.58
Pr  0.0000  0.0000  0.5000  12 Au 3.11-3.23
Li  0.0000  0.0000  0.0000  8 Au 3.32, 8 Zn 3.45
Au  0.0000  0.5000  0.2665  2 Zn 2.58

DOS(E_F) (states/eV/cell): 2.72
Formation energy (eV per atom): -0.35
Space group: No. 123
Total magnetic moment (μB per cell): 0.000


The following is a GGA-PBE calculation of crystalline ZrBe3In at its relaxed geometry, from the Alexandria database.

Cell lengths 4.3798, 4.3798, 4.3798 Å; angles 90.00, 90.00, 90.00 degrees
With the nearest neighbours (Å) after each atom.
Sites, in units of the cell vectors:
Zr  0.5000  0.5000  0.5000  12 Be 3.10
Be  0.0000  0.0000  0.5000  2 In 2.19
Be  0.5000  0.0000  0.0000  2 In 2.19
Be  0.0000  0.5000  0.0000  2 In 2.19
In  0.0000  0.0000  0.0000  6 Be 2.19

DOS(E_F) (states/eV/cell): 1.81
Formation energy (eV per atom): 0.97
Space group: No. 221
Total magnetic moment (μB per cell): 0.000


The following is a GGA-PBE calculation of crystalline YGe3Te6 at its relaxed geometry, from the Alexandria database.

Cell lengths 4.1245, 12.4524, 13.3808 Å; angles 112.62, 90.00, 90.00 degrees
With the nearest neighbours (Å) after each atom.
Sites, in units of the cell vectors:
Te  0.7500  0.9690  0.1184  1 Ge 2.64
Te  0.2500  0.2309  0.3412  2 Ge 2.71
Ge  0.2500  0.8017  0.7990  4 Te 2.64-2.72
Te  0.2500  0.5359  0.3588  3 Ge 2.72-2.82
Ge  0.2500  0.2981  0.5976  3 Te 2.71-2.82
Te  0.7500  0.4641  0.6412  3 Ge 2.72-2.82
Te  0.7500  0.3285  0.0776  3 Ge 2.72-2.83
Y  0.2500  0.9513  0.2883  8 Te 3.13-3.37
Te  0.7500  0.0968  0.4807  2 Ge 3.16, 3 Y 3.25-3.37, 2 Te 3.36
Te  0.2500  0.0310  0.8816  1 Ge 2.64
Ge  0.7500  0.7019  0.4024  3 Te 2.71-2.82
Y  0.7500  0.0487  0.7117  8 Te 3.13-3.37
Te  0.2500  0.9032  0.5193  2 Ge 3.16, 3 Y 3.25-3.37, 2 Te 3.36
Te  0.7500  0.7460  0.2195  1 Ge 2.71
Te  0.2500  0.2540  0.7805  1 Ge 2.71
Te  0.7500  0.7691  0.6588  2 Ge 2.71
Ge  0.7500  0.5029  0.8558  3 Te 2.72-2.83
Ge  0.2500  0.4971  0.1442  3 Te 2.72-2.83
Te  0.2500  0.6715  0.9224  3 Ge 2.72-2.83
Ge  0.7500  0.1983  0.2010  4 Te 2.64-2.72

DOS(E_F) (states/eV/cell): 4.02
Formation energy (no corrections) (eV/atom): -0.356
Space group: No. 11
Total magnetic moment (μB per cell): 0.000